[1]
Cs2KCoBr6 | PBE | optimized geometry

ρ, g cm⁻³: 3.38
Electronic total energy, eV per atom: -3.175
Raw formation energy, meV/atom: -1180

Cell: 7.7462 7.7462 7.9767 Å, 90.00 90.00 120.00°
Space group P-3m1 (No. 164)
Symmetry-distinct sites (fractional):
Cs 0.3333 0.6667 0.1607 [2 per cell]
K 0.0000 0.0000 0.5000 [1 per cell]
Co 0.0000 0.0000 0.0000 [1 per cell]
Br 0.1494 0.2987 0.8218 [6 per cell]

[2]
NaSb2F | PBE | optimized geometry

ρ, g cm⁻³: 4.40
E above lowest polymorph, eV/atom: 0.0000
Electronic total energy, eV per atom: -3.618
N(E_F), states/eV per atom: 0.549
Raw formation energy, meV/atom: -759

Cell: 4.094 4.094 25.733 Å, 90.00 90.00 90.00°
Space group I-42d (No. 122)
Symmetry-distinct sites (fractional):
Na 0.000 0.000 0.000 [4 per cell]
Sb 0.244 0.250 0.125 [8 per cell]
F 0.000 0.000 0.500 [4 per cell]

[3]
La4RhSI2 | PBE | optimized geometry

ρ, g cm⁻³: 6.29
Electronic total energy, eV per atom: -5.574
N(E_F), states/eV per atom: 0.799
Raw formation energy, meV/atom: -1288

Cell: 7.599 4.145 8.282 Å, 90.00 107.08 90.00°
Space group P2/m (No. 10)
Symmetry-distinct sites (fractional):
La 0.218 0.000 0.191 [2 per cell]
La 0.276 0.500 0.801 [2 per cell]
Rh 0.000 0.500 0.000 [1 per cell]
S 0.500 0.000 0.000 [1 per cell]
I 0.000 0.000 0.500 [1 per cell]
I 0.500 0.500 0.500 [1 per cell]

[4]
CsNaS2Cl | PBE | optimized geometry

ρ, g cm⁻³: 2.59
E above lowest polymorph, eV/atom: 0.0000
Electronic total energy, eV per atom: -2.822
N(E_F), states/eV per atom: 0.736
Raw formation energy, meV/atom: -367

Cell: 5.424 5.424 5.561 Å, 90.00 90.00 90.00°
Space group P4/mmm (No. 123)
Symmetry-distinct sites (fractional):
Cs 0.000 0.000 0.000 [1 per cell]
Na 0.500 0.500 0.500 [1 per cell]
S 0.000 0.500 0.500 [2 per cell]
Cl 0.500 0.500 0.000 [1 per cell]

[5]
Cd4Te2SeS | PBE | optimized geometry

ρ, g cm⁻³: 5.33
Electronic total energy, eV per atom: -2.717
Raw formation energy, meV/atom: -523

Cell: 6.338 6.338 12.655 Å, 90.00 90.00 90.00°
Space group I-42m (No. 121)
Symmetry-distinct sites (fractional):
Cd 0.243 0.243 0.114 [8 per cell]
Te 0.000 0.500 0.250 [4 per cell]
Se 0.000 0.000 0.500 [2 per cell]
S 0.000 0.000 0.000 [2 per cell]

[6]
SnTeS2 | PBE | optimized geometry

ρ, g cm⁻³: 4.71
E above lowest polymorph, eV/atom: 0.0000
Electronic total energy, eV per atom: -3.926
N(E_F), states/eV per atom: 0.838
Raw formation energy, meV/atom: -76

Cell: 3.8870 3.8870 25.0693 Å, 90.00 90.00 120.00°
Space group R-3m (No. 166, hexagonal axes)
Symmetry-distinct sites (fractional):
Sn 0.0000 0.0000 0.0000 [3 per cell]
Te 0.0000 0.0000 0.5000 [3 per cell]
S 0.0000 0.0000 0.3959 [6 per cell]

[7]
NbNi2IrC | PBE | optimized geometry

ρ, g cm⁻³: 11.05
Formation enthalpy at 0 K, eV per atom: 0.220
Electronic total energy, eV per atom: -7.723
N(E_F), states/eV per atom: 1.357

Cell: 3.919 3.919 4.055 Å, 90.00 90.00 90.00°
Space group P4/mmm (No. 123)
Symmetry-distinct sites (fractional):
Nb 0.000 0.000 0.000 [1 per cell]
Ni 0.000 0.500 0.500 [2 per cell]
Ir 0.500 0.500 0.000 [1 per cell]
C 0.500 0.500 0.500 [1 per cell]